Below is a geometry-optimized NaCrCo2O structure, with properties calculated at the GGA+U level.

Summary:
Crystal system = tetragonal

Lattice parameters (Å, degrees): 4.3594 4.3594 4.0209 90.00 90.00 90.00
Last column: nearest neighbours and their distance in Å.
Space group P4/mmm (No. 123)
Asymmetric unit:
Na 0.0000 0.0000 0.0000  8 Co 2.97, 4 Cr 3.08
Cr 0.5000 0.5000 0.0000  2 O 2.01
Co 0.0000 0.5000 0.5000  2 O 2.18
O 0.5000 0.5000 0.5000  2 Cr 2.01, 4 Co 2.18



Below is a geometry-optimized Na3Cr2CoO6 structure, with properties calculated at the GGA+U level.

Summary:
Crystal system = monoclinic

Lattice parameters (Å, degrees): 5.1942 8.9927 5.6147 90.00 107.92 90.00
Last column: nearest neighbours and their distance in Å.
Space group C2/m (No. 12)
Asymmetric unit:
Na 0.0000 0.0000 0.0000  6 O 2.36-2.40
Na 0.0000 0.3352 0.0000  6 O 2.35-2.41
Cr 0.0000 0.1667 0.5000  6 O 2.04
Co 0.0000 0.5000 0.5000  6 O 1.99
O 0.2284 0.3370 0.6964  1 Co 1.99, 2 Cr 2.04
O 0.2391 0.0000 0.6954  1 Co 1.99, 2 Cr 2.04



Below is a geometry-optimized NaCr4Co3O12 structure, with properties calculated at the GGA+U level.

Summary:
Crystal system = cubic

Lattice parameters (Å, degrees): 7.3483 7.3483 7.3483 90.00 90.00 90.00
Last column: nearest neighbours and their distance in Å.
Space group Im-3 (No. 204)
Asymmetric unit:
Na 0.0000 0.0000 0.0000  12 O 2.66
Cr 0.2500 0.2500 0.2500  6 O 1.98
Co 0.0000 0.0000 0.5000  4 O 1.86
O 0.0000 0.1752 0.3173  1 Co 1.86, 2 Cr 1.98



Below is a geometry-optimized Na2Cr2CoO6 structure, with properties calculated at the GGA+U level.

Summary:
Crystal system = monoclinic

Lattice parameters (Å, degrees): 5.1263 8.6622 5.7222 90.00 105.97 90.00
Last column: nearest neighbours and their distance in Å.
Space group C2/m (No. 12)
Asymmetric unit:
Na 0.0000 0.1687 0.0000  6 O 2.37-2.44
Cr 0.0000 0.3403 0.5000  6 O 1.98-2.01
Co 0.0000 0.0000 0.5000  6 O 1.94
O 0.2168 0.1665 0.6837  1 Co 1.94, 2 Cr 1.99-2.01
O 0.2428 0.5000 0.6935  1 Co 1.94, 2 Cr 1.98



Below is a geometry-optimized Na3Cr3CoO8 structure, with properties calculated at the GGA+U level.

Summary:
Crystal system = monoclinic

Lattice parameters (Å, degrees): 10.3449 5.9729 6.4261 90.00 122.38 90.00
Last column: nearest neighbours and their distance in Å.
Space group C2/m (No. 12)
Asymmetric unit:
Na 0.0000 0.0000 0.0000  6 O 2.39
Na 0.2500 0.2500 0.0000  6 O 2.38-2.40
Cr 0.0000 0.5000 0.5000  6 O 2.03-2.04
Cr 0.2500 0.2500 0.5000  6 O 2.03-2.04
Co 0.0000 0.0000 0.5000  6 O 1.93
O 0.0172 0.2376 0.3136  1 Co 1.93, 2 Cr 2.04
O 0.2204 0.0000 0.6863  1 Co 1.93, 2 Cr 2.04
O 0.2319 0.5000 0.6962  3 Cr 2.03



no.,E (eV per cell),total moment (μB per formula unit)
1,-22.88,7.3
2,-148.31,6.0
3,-266.55,10.0
4,-140.18,5.0
5,-193.77,8.0